[1]
Ca2Ga5CuNi2 | PBE | relaxed

abc: 3.8063 9.5259 9.5259
angles: 90.00 90.00 90.00
Fractional coordinates of all 20 atoms:
Ni  0.0000  0.8887  0.3887
Ni  0.0000  0.1113  0.6113
Ni  0.0000  0.6113  0.8887
Ni  0.0000  0.3887  0.1113
Ga  0.5000  0.2015  0.0560
Ga  0.5000  0.0000  0.5000
Ga  0.5000  0.5560  0.7015
Ga  0.5000  0.9440  0.2015
Ga  0.5000  0.4440  0.2985
Ga  0.5000  0.0560  0.7985
Ga  0.5000  0.7015  0.4440
Ga  0.5000  0.5000  0.0000
Ga  0.5000  0.2985  0.5560
Ga  0.5000  0.7985  0.9440
Ca  0.0000  0.1841  0.3159
Ca  0.0000  0.3159  0.8159
Ca  0.0000  0.6841  0.1841
Ca  0.0000  0.8159  0.6841
Cu  0.0000  0.0000  0.0000
Cu  0.0000  0.5000  0.5000

Summary:
Crystal system ... tetragonal
Calculated formation energy ... -0.320 eV per atom
Space group ... No. 127
Electronic total energy ... -75.98 eV/cell

[2]
Ca2GaCu6Ni | PBE | relaxed

abc: 6.4448 6.4448 6.4448
angles: 60.00 60.00 90.00
Fractional coordinates of all 10 atoms:
Ca  0.2500  0.7500  0.5000
Ca  0.7500  0.2500  0.5000
Ga  0.0000  0.0000  0.0000
Cu  0.7461  0.7461  0.0000
Cu  0.2539  0.2539  0.0000
Cu  0.7461  0.2539  0.0000
Cu  0.2539  0.2539  0.4922
Cu  0.2539  0.7461  0.0000
Cu  0.7461  0.7461  0.5078
Ni  0.5000  0.5000  0.0000

Summary:
Crystal system ... cubic
Calculated formation energy ... 0.154 eV per atom
Space group ... No. 225
Electronic total energy ... -35.85 eV/cell

[3]
Ca2Ga3Cu12Ni | PBE | relaxed

abc: 9.6832 9.6832 9.6832
angles: 37.23 37.23 37.23
Fractional coordinates of all 18 atoms:
Cu  0.4206  0.8127  0.4206
Cu  0.4206  0.4206  0.8127
Cu  0.1873  0.5794  0.5794
Cu  0.5794  0.5794  0.1873
Cu  0.6574  0.0650  0.0650
Cu  0.9350  0.3426  0.9350
Cu  0.5794  0.1873  0.5794
Cu  0.9350  0.9350  0.3426
Cu  0.0650  0.6574  0.0650
Cu  0.8127  0.4206  0.4206
Cu  0.0650  0.0650  0.6574
Cu  0.3426  0.9350  0.9350
Ga  0.5000  0.0000  0.0000
Ga  0.0000  0.0000  0.5000
Ga  0.0000  0.5000  0.0000
Ca  0.3473  0.3473  0.3473
Ca  0.6527  0.6527  0.6527
Ni  0.0000  0.0000  0.0000

Summary:
Crystal system ... trigonal
Calculated formation energy ... 0.113 eV per atom
Space group ... No. 166
Electronic total energy ... -65.98 eV/cell

[4]
Ca2Ga4Cu3Ni | PBE | relaxed

abc: 4.1226 4.1226 10.4196
angles: 90.00 90.00 90.00
Fractional coordinates of all 10 atoms:
Ga  0.0000  0.5000  0.3752
Ga  0.5000  0.5000  0.0000
Ga  0.0000  0.0000  0.0000
Ga  0.5000  0.0000  0.6248
Cu  0.0000  0.5000  0.1387
Cu  0.0000  0.0000  0.5000
Cu  0.5000  0.0000  0.8613
Ni  0.5000  0.5000  0.5000
Ca  0.5000  0.0000  0.2518
Ca  0.0000  0.5000  0.7482

Summary:
Crystal system ... tetragonal
Calculated formation energy ... -0.342 eV per atom
Space group ... No. 115
Electronic total energy ... -37.60 eV/cell

[5]
CaGa4Cu2Ni | PBE | relaxed

abc: 4.1421 4.1421 9.3563
angles: 77.21 77.21 60.00
Fractional coordinates of all 8 atoms:
Ga  0.5947  0.5947  0.2159
Ga  0.8677  0.8677  0.3970
Ga  0.4053  0.4053  0.7841
Ga  0.1323  0.1323  0.6030
Ca  0.0000  0.0000  0.0000
Ni  0.5000  0.5000  0.5000
Cu  0.7681  0.7681  0.6957
Cu  0.2319  0.2319  0.3043

Summary:
Crystal system ... trigonal
Calculated formation energy ... -0.286 eV per atom
Space group ... No. 166
Electronic total energy ... -30.37 eV/cell

[6]
Ca2GaCuO | PBE | relaxed

abc: 4.8498 4.0104 4.8498
angles: 90.00 90.00 90.00
Fractional coordinates of all 5 atoms:
Ca  0.0000  0.0000  0.5000
Ca  0.5000  0.0000  0.0000
Cu  0.0000  0.5000  0.0000
O  0.0000  0.0000  0.0000
Ga  0.5000  0.5000  0.5000

Summary:
Crystal system ... tetragonal
Space group ... No. 123
Electronic total energy ... -20.94 eV/cell
Raw formation energy ... -971 meV/atom

[7]
Ca2PrGaCu2O7 | PBE | relaxed

abc: 11.8145 11.8145 11.8145
angles: 153.38 152.56 38.60
Fractional coordinates of all 26 atoms:
O  0.8896  0.3646  0.6131
O  0.6681  0.1765  0.9899
O  0.6349  0.8485  0.9834
O  0.1720  0.1642  0.4753
O  0.1888  0.6642  0.9922
O  0.2515  0.8646  0.4751
O  0.8280  0.3034  0.9922
O  0.7485  0.2236  0.6131
O  0.3651  0.3485  0.2135
O  0.6866  0.6765  0.5084
O  0.1104  0.7236  0.4751
O  0.3319  0.3218  0.5084
O  0.8112  0.8034  0.4753
O  0.3134  0.8218  0.9899
Ga  0.6782  0.2015  0.3797
Ga  0.3218  0.7015  0.5233
Ca  0.1127  0.1201  0.9235
Ca  0.8873  0.8108  0.0074
Ca  0.3034  0.3108  0.9235
Ca  0.6966  0.6201  0.0074
Pr  0.5000  0.4907  0.9907
Pr  0.0000  0.9907  0.9907
Cu  0.4234  0.9087  0.4929
Cu  0.5766  0.0696  0.4853
Cu  0.9157  0.4087  0.4853
Cu  0.0843  0.5696  0.4929

Summary:
Crystal system ... orthorhombic
Space group ... No. 46
Electronic total energy ... -163.54 eV/cell
Raw formation energy ... -2082 meV/atom

[8]
CaGa2Cu3Sb2O12 | PBE | relaxed

abc: 7.5570 7.5570 7.5570
angles: 90.00 90.00 90.00
Fractional coordinates of all 40 atoms:
Cu  0.0000  0.0000  0.5000
Cu  0.5000  0.0000  0.0000
Cu  0.0000  0.5000  0.0000
Cu  0.5000  0.5000  0.0000
Cu  0.5000  0.0000  0.5000
Cu  0.0000  0.5000  0.5000
O  0.5002  0.6758  0.8041
O  0.3041  0.0002  0.8242
O  0.1758  0.6959  0.0002
O  0.6959  0.9998  0.8242
O  0.8041  0.4998  0.3242
O  0.4998  0.6758  0.1959
O  0.1959  0.5002  0.3242
O  0.0002  0.8242  0.3041
O  0.0002  0.1758  0.6959
O  0.6959  0.0002  0.1758
O  0.3242  0.8041  0.4998
O  0.3242  0.1959  0.5002
O  0.8242  0.6959  0.9998
O  0.8242  0.3041  0.0002
O  0.9998  0.8242  0.6959
O  0.6758  0.8041  0.5002
O  0.3041  0.9998  0.1758
O  0.4998  0.3242  0.8041
O  0.8041  0.5002  0.6758
O  0.1758  0.3041  0.9998
O  0.6758  0.1959  0.4998
O  0.9998  0.1758  0.3041
O  0.1959  0.4998  0.6758
O  0.5002  0.3242  0.1959
Ga  0.7500  0.2500  0.2500
Ga  0.2500  0.7500  0.2500
Ga  0.2500  0.2500  0.7500
Ga  0.7500  0.7500  0.7500
Sb  0.2500  0.7500  0.7500
Sb  0.7500  0.2500  0.7500
Sb  0.2500  0.2500  0.2500
Sb  0.7500  0.7500  0.2500
Ca  0.5000  0.5000  0.5000
Ca  0.0000  0.0000  0.0000

Summary:
Crystal system ... cubic
Space group ... No. 201
Electronic total energy ... -232.64 eV/cell
Raw formation energy ... -1412 meV/atom

[9]
Sr2Ca2GaCu3O9 | PBE | relaxed

abc: 5.3921 5.4614 15.4006
angles: 100.21 100.08 90.00
Fractional coordinates of all 34 atoms:
Cu  0.5130  0.5000  0.0000
Cu  0.9000  0.8872  0.7747
Cu  0.1253  0.1128  0.2253
Cu  0.6253  0.6126  0.2253
Cu  0.0130  0.0000  0.0000
Cu  0.4000  0.3874  0.7747
Ca  0.4569  0.9423  0.8877
Ca  0.9569  0.4454  0.8877
Ca  0.0692  0.5546  0.1123
Ca  0.5692  0.0577  0.1123
O  0.2622  0.7492  0.9984
O  0.1590  0.1434  0.7901
O  0.1600  0.6387  0.5000
O  0.8690  0.8534  0.2099
O  0.2980  0.2673  0.6151
O  0.7980  0.8478  0.6151
O  0.1829  0.1522  0.3849
O  0.3690  0.8566  0.2099
O  0.2638  0.2508  0.0016
O  0.7622  0.7492  0.9984
O  0.6600  0.3613  0.5000
O  0.8699  0.3573  0.2151
O  0.6547  0.6427  0.7849
O  0.6590  0.1466  0.7901
O  0.7638  0.2508  0.0016
O  0.3699  0.3578  0.2151
O  0.6829  0.7327  0.3849
O  0.1547  0.6422  0.7849
Sr  0.3425  0.8410  0.6552
Sr  0.6874  0.1590  0.3448
Sr  0.8425  0.3142  0.6552
Sr  0.1874  0.6858  0.3448
Ga  0.3070  0.3206  0.5000
Ga  0.8070  0.6794  0.5000

Summary:
Crystal system ... orthorhombic
Space group ... No. 46
Electronic total energy ... -198.54 eV/cell
Raw formation energy ... -1880 meV/atom

[10]
CaGaCuOs2 | PBE | relaxed

abc: 4.7492 5.0534 4.7492
angles: 90.00 90.00 90.00
Fractional coordinates of all 5 atoms:
Os  0.0000  0.0000  0.5000
Os  0.5000  0.0000  0.0000
Ca  0.0000  0.0000  0.0000
Ga  0.0000  0.5000  0.0000
Cu  0.5000  0.5000  0.5000

Summary:
Crystal system ... tetragonal
Calculated formation energy ... 2.630 eV per atom
Space group ... No. 123
Electronic total energy ... -18.44 eV/cell

[11]
Ca2Ga3Cu4Pd | PBE | relaxed

abc: 4.1285 4.1285 10.4930
angles: 90.00 90.00 90.00
Fractional coordinates of all 10 atoms:
Cu  0.5000  0.5000  0.0000
Cu  0.0000  0.0000  0.0000
Cu  0.0000  0.5000  0.3579
Cu  0.5000  0.0000  0.6421
Ga  0.0000  0.0000  0.5000
Ga  0.5000  0.0000  0.8724
Ga  0.0000  0.5000  0.1276
Ca  0.0000  0.5000  0.7490
Ca  0.5000  0.0000  0.2510
Pd  0.5000  0.5000  0.5000

Summary:
Crystal system ... tetragonal
Calculated formation energy ... -0.320 eV per atom
Space group ... No. 115
Electronic total energy ... -37.86 eV/cell

[12]
CaGa4Cu2Pd | PBE | relaxed

abc: 4.2040 4.2040 9.5364
angles: 77.27 77.27 60.00
Fractional coordinates of all 8 atoms:
Cu  0.7672  0.7672  0.6984
Cu  0.2328  0.2328  0.3016
Ga  0.4025  0.4025  0.7925
Ga  0.8739  0.8739  0.3784
Ga  0.5975  0.5975  0.2075
Ga  0.1261  0.1261  0.6216
Ca  0.0000  0.0000  0.0000
Pd  0.5000  0.5000  0.5000

Summary:
Crystal system ... trigonal
Calculated formation energy ... -0.343 eV per atom
Space group ... No. 166
Electronic total energy ... -30.24 eV/cell

What V values result from the calculations? In sequence: 17.27 18.93 16.55 17.71 16.80 18.87 13.07 10.79 12.92 22.80 17.89 17.64 Å³/atom.